! PBE CsNaPAu, optimized geometry; values from VASP
! VASP energy, eV/atom: -3.090
&SYSTEM
  ibrav = 0, nat = 8, ntyp = 4
/
ATOMIC_SPECIES
Au 196.97 Au.upf
Cs 132.91 Cs.upf
Na 22.99 Na.upf
P 30.97 P.upf
CELL_PARAMETERS angstrom
6.707 0.000 0.000
0.000 3.764 4.921
0.000 -3.764 4.921
ATOMIC_POSITIONS crystal
Au 0.000 0.498 0.498
Au 0.500 0.498 0.498
Cs 0.250 0.319 0.021
Cs 0.750 0.021 0.319
Na 0.250 0.967 0.656
Na 0.750 0.656 0.967
P 0.250 0.747 0.293
P 0.750 0.293 0.747